# 1
VASP calculation (PBE-GGA) on an optimized crystal structure of Ac6PtRh4.

N(E_F)   4.157 states/eV/f.u.
Raw total energy   -67.2 eV for the cell shown

Lattice parameters (Å, degrees): 6.014 6.014 9.786 108.55 108.55 89.65
Sites, in units of the cell vectors:
Ac  0.078  0.568  0.645
Ac  0.568  0.078  0.645
Ac  0.918  0.918  0.354
Ac  0.003  0.502  0.999
Ac  0.429  0.429  0.355
Ac  0.502  0.003  0.999
Pt  0.004  0.004  0.003
Rh  0.898  0.377  0.281
Rh  0.621  0.621  0.720
Rh  0.377  0.898  0.281
Rh  0.102  0.102  0.718

---

# 2
VASP calculation (PBE-GGA) on an optimized crystal structure of Ac8Pt3Rh4.

N(E_F)   7.340 states/eV/f.u.
Raw total energy   -93.0 eV for the cell shown

Lattice parameters (Å, degrees): 8.649 8.661 8.661 90.15 119.82 119.82
Sites, in units of the cell vectors:
Ac  0.482  0.238  0.238
Ac  0.000  0.757  0.243
Ac  0.995  0.242  0.242
Ac  0.500  0.753  0.247
Ac  0.500  0.247  0.753
Ac  0.005  0.758  0.758
Ac  0.000  0.243  0.757
Ac  0.518  0.762  0.762
Pt  0.500  0.500  0.000
Pt  0.500  0.000  0.500
Pt  0.500  0.500  0.500
Rh  0.500  0.000  0.000
Rh  0.000  0.500  0.000
Rh  0.000  0.000  0.000
Rh  0.000  0.000  0.500

---

# 3
VASP calculation (PBE-GGA) on an optimized crystal structure of AcPtRh3.

N(E_F)   4.740 states/eV/f.u.
Raw total energy   -34.1 eV for the cell shown

Lattice parameters (Å, degrees): 4.227 5.358 5.358 121.25 90.00 90.00
Sites, in units of the cell vectors:
Ac  0.000  0.591  0.409
Pt  0.500  0.088  0.912
Rh  0.500  0.085  0.401
Rh  0.500  0.599  0.915
Rh  0.000  0.266  0.734

---

# 4
VASP calculation (PBE-GGA) on an optimized crystal structure of Ac4Pt2Rh.

N(E_F)   4.620 states/eV/f.u.
E above lowest polymorph   0.0 meV per atom

Lattice parameters (Å, degrees): 4.445 8.221 7.618 62.38 90.07 74.39
Sites, in units of the cell vectors:
Ac  0.872  0.258  0.546
Ac  0.128  0.742  0.454
Ac  0.625  0.749  0.969
Ac  0.375  0.251  0.031
Pt  0.745  0.511  0.743
Pt  0.255  0.489  0.257
Rh  0.000  0.000  0.000

---

# 5
VASP calculation (PBE-GGA) on an optimized crystal structure of Ac2PtRh2.

N(E_F)   3.077 states/eV/f.u.
E above lowest polymorph   27.5 meV per atom

Lattice parameters (Å, degrees): 7.610 7.610 8.141 90.00 90.00 90.00
Sites, in units of the cell vectors:
Ac  0.681  0.819  0.500
Ac  0.319  0.181  0.500
Ac  0.819  0.319  0.000
Ac  0.181  0.681  0.000
Ac  0.819  0.319  0.500
Ac  0.181  0.681  0.500
Ac  0.319  0.181  0.000
Ac  0.681  0.819  0.000
Pt  0.500  0.500  0.250
Pt  0.000  0.000  0.750
Pt  0.500  0.500  0.750
Pt  0.000  0.000  0.250
Rh  0.370  0.870  0.250
Rh  0.630  0.130  0.250
Rh  0.130  0.370  0.750
Rh  0.870  0.630  0.750
Rh  0.870  0.630  0.250
Rh  0.130  0.370  0.250
Rh  0.370  0.870  0.750
Rh  0.630  0.130  0.750

---

# 6
VASP calculation (PBE-GGA) on an optimized crystal structure of Ac7PtRh4.

N(E_F)   6.501 states/eV/f.u.
Raw total energy   -72.7 eV for the cell shown

Lattice parameters (Å, degrees): 4.240 7.409 13.002 104.43 90.00 106.63
Sites, in units of the cell vectors:
Ac  0.737  0.474  0.357
Ac  0.256  0.513  0.641
Ac  0.346  0.691  0.948
Ac  0.657  0.313  0.053
Ac  0.042  0.084  0.789
Ac  0.960  0.920  0.213
Ac  0.501  0.002  0.497
Pt  0.883  0.766  0.575
Rh  0.696  0.393  0.815
Rh  0.305  0.611  0.187
Rh  0.001  0.002  0.000
Rh  0.115  0.230  0.425

---

# 7
VASP calculation (PBE-GGA) on an optimized crystal structure of Ac6Pt2Rh3.

N(E_F)   6.173 states/eV/f.u.
Raw total energy   -67.9 eV for the cell shown

Lattice parameters (Å, degrees): 7.497 7.490 7.571 80.58 70.90 59.97
Sites, in units of the cell vectors:
Ac  0.411  0.654  0.765
Ac  0.758  0.000  0.761
Ac  0.066  0.346  0.765
Ac  0.242  0.000  0.239
Ac  0.589  0.346  0.235
Ac  0.934  0.654  0.235
Pt  0.167  0.665  0.500
Pt  0.833  0.335  0.500
Rh  0.000  0.000  0.000
Rh  0.339  0.322  0.000
Rh  0.661  0.678  0.000

---

# 8
VASP calculation (PBE-GGA) on an optimized crystal structure of Ac6PtRh2.

N(E_F)   8.377 states/eV/f.u.
E above lowest polymorph   0.0 meV per atom

Lattice parameters (Å, degrees): 6.997 7.588 7.588 120.00 90.00 90.00
Sites, in units of the cell vectors:
Ac  0.271  0.661  0.000
Ac  0.271  0.339  0.339
Ac  0.271  0.000  0.661
Ac  0.729  0.339  0.000
Ac  0.729  0.661  0.661
Ac  0.729  0.000  0.339
Pt  0.500  0.000  0.000
Rh  0.500  0.333  0.667
Rh  0.500  0.667  0.333